An optimized crystal structure of TbNi3P2, computed with PBE.

Summary:
Spin magnetization, μB/atom: 0.000
VASP energy, eV per cell: -76.2

Cell: 7.3380 7.3380 6.8411 Å, 114.02 114.02 29.64°
Positions (direct):
Tb 0.1540 0.1540 0.0694
Tb 0.8460 0.8460 0.9306
Ni 0.0426 0.0426 0.3667
Ni 0.3166 0.3166 0.5647
Ni 0.4021 0.4021 0.3147
Ni 0.5979 0.5979 0.6853
Ni 0.6834 0.6834 0.4353
Ni 0.9574 0.9574 0.6333
P 0.1883 0.1883 0.6760
P 0.4808 0.4808 0.8216
P 0.5192 0.5192 0.1784
P 0.8117 0.8117 0.3240



An optimized crystal structure of HfBPBr2, computed with PBE.

Summary:
Spin magnetization, μB/atom: 0.000
ΔE_f (raw), eV/f.u.: 3.090
VASP energy, eV per cell: -22.3

Cell: 5.2701 5.2701 5.0599 Å, 90.00 90.00 90.00°
Positions (direct):
Hf 0.0000 0.0000 0.0000
B 0.5000 0.5000 0.5000
P 0.0000 0.0000 0.5000
Br 0.0000 0.5000 0.0000
Br 0.5000 0.0000 0.0000



An optimized crystal structure of Hf8GePt2, computed with PBE.

Summary:
Spin magnetization, μB/atom: 0.000
VASP energy, eV per cell: -100.0

Cell: 7.5633 7.5633 4.8695 Å, 99.82 99.82 117.98°
Positions (direct):
Hf 0.0897 0.3147 0.5977
Hf 0.2242 0.7758 0.0000
Hf 0.3147 0.0897 0.5977
Hf 0.3889 0.3889 0.1903
Hf 0.6111 0.6111 0.8097
Hf 0.6853 0.9103 0.4023
Hf 0.7758 0.2242 0.0000
Hf 0.9103 0.6853 0.4023
Ge 0.0000 0.0000 0.0000
Pt 0.3087 0.6913 0.5000
Pt 0.6913 0.3087 0.5000



An optimized crystal structure of Ta2ClF, computed with PBE.

Summary:
Spin magnetization, μB/atom: 0.000
ΔE_f (raw), eV/f.u.: 1.549
VASP energy, eV per cell: -25.9

Cell: 4.3722 4.3722 4.3722 Å, 60.00 60.00 60.00°
Positions (direct):
Ta 0.2500 0.2500 0.2500
Ta 0.7500 0.7500 0.7500
Cl 0.0000 0.0000 0.0000
F 0.5000 0.5000 0.5000



An optimized crystal structure of VHgAsBr2, computed with PBE.

Summary:
Spin magnetization, μB/atom: 0.000
ΔE_f (raw), eV/f.u.: -0.091
VASP energy, eV per cell: -17.5

Cell: 5.0584 5.0584 4.9108 Å, 90.00 90.00 90.00°
Positions (direct):
V 0.0000 0.0000 0.0000
Hg 0.5000 0.5000 0.5000
As 0.0000 0.0000 0.5000
Br 0.0000 0.5000 0.0000
Br 0.5000 0.0000 0.0000



An optimized crystal structure of Sb3WN, computed with PBE.

Summary:
Spin magnetization, μB/atom: 0.318
ΔE_f (raw), eV/f.u.: 5.217
VASP energy, eV per cell: -28.4

Cell: 4.5982 4.5982 4.5982 Å, 90.00 90.00 90.00°
Positions (direct):
Sb 0.0000 0.0000 0.5000
Sb 0.0000 0.5000 0.0000
Sb 0.5000 0.0000 0.0000
W 0.5000 0.5000 0.5000
N 0.0000 0.0000 0.0000



An optimized crystal structure of RbDyAg2Br6, computed with PBE.

Summary:
Spin magnetization, μB/atom: 0.000
ΔE_f (raw), eV/f.u.: -12.152
VASP energy, eV per cell: -33.5

Cell: 8.1088 8.1088 8.1088 Å, 54.91 54.91 54.91°
Positions (direct):
Rb 0.0000 0.0000 0.0000
Dy 0.4739 0.4739 0.4739
Ag 0.2849 0.2849 0.2849
Ag 0.8054 0.8054 0.8054
Br 0.0641 0.6248 0.4709
Br 0.2215 0.5386 0.8746
Br 0.4709 0.0641 0.6248
Br 0.5386 0.8746 0.2215
Br 0.6248 0.4709 0.0641
Br 0.8746 0.2215 0.5386



An optimized crystal structure of AsIrBr2N, computed with PBE.

Summary:
Spin magnetization, μB/atom: 0.166
ΔE_f (raw), eV/f.u.: 7.242
VASP energy, eV per cell: -17.9

Cell: 5.3161 5.3161 4.6136 Å, 90.00 90.00 90.00°
Positions (direct):
As 0.0000 0.0000 0.0000
Ir 0.0000 0.0000 0.5000
Br 0.0000 0.5000 0.5000
Br 0.5000 0.0000 0.5000
N 0.5000 0.5000 0.0000